Record 1
8
Lattice="4.208 0.000 0.000 -2.104 3.644 0.000 0.000 0.000 9.049" Properties=species:S:1:pos:R:3 comment="YGeRh2 GGA-PBEsol relaxed" e_tot_ev_per_fu=-31.2 formation_enthalpy_0k_ev_per_atom=-0.79 magmom_total_mub_per_cell=0.0 pbc="T T T"
Y 2.104 1.215 6.787
Y 0.000 2.430 2.262
Ge 0.000 0.000 0.000
Ge 0.000 0.000 4.525
Rh 2.104 1.215 0.688
Rh 0.000 2.430 8.362
Rh 0.000 2.430 5.212
Rh 2.104 1.215 3.837


Record 2
8
Lattice="6.120 0.057 0.000 1.937 5.806 0.000 -4.028 -2.931 3.555" Properties=species:S:1:pos:R:3 comment="FeCuS2 GGA-PBEsol relaxed" e_tot_ev_per_fu=-23.3 e_form_raw_kcal_per_mol_atoms=-7.16 magmom_total_mub_per_cell=0.1 pbc="T T T"
S 3.072 2.129 1.864
S 3.939 5.172 0.087
S -1.058 -0.663 1.691
S 2.104 -0.774 3.469
Fe 3.060 0.028 1.778
Fe 0.000 0.000 0.000
Cu 4.028 2.931 0.000
Cu 0.968 2.903 1.778